Compound: CuAg3
Source: the Open Quantum Materials Database
Functional: GGA-PBE
Structure: optimized geometry Values from VASP.

```
&SYSTEM
  ibrav = 0, nat = 8, ntyp = 2
/
ATOMIC_SPECIES
Cu 63.55 Cu.upf
Ag 107.87 Ag.upf
ATOMIC_POSITIONS angstrom
Cu -0.389 0.000 3.156
Cu 6.069 0.000 3.995
Ag -2.084 0.000 6.667
Ag 2.264 0.000 2.329
Ag 0.682 0.000 5.693
Ag 4.998 0.000 1.458
Ag 3.416 0.000 4.823
Ag 7.764 0.000 0.484
CELL_PARAMETERS angstrom
4.561 -2.013 0.000
4.561 2.013 0.000
-3.443 0.000 7.151
```

Formation energy, eV per atom: 0.062
Symmetry: C2/m, No. 12

=====

Compound: Ho2NiSn2
Source: the Open Quantum Materials Database
Functional: GGA-PBE
Structure: optimized geometry Values from VASP.

```
&SYSTEM
  ibrav = 0, nat = 10, ntyp = 3
/
ATOMIC_SPECIES
Ho 164.93 Ho.upf
Ni 58.69 Ni.upf
Sn 118.71 Sn.upf
ATOMIC_POSITIONS angstrom
Ho -0.814 0.000 1.640
Ho -1.051 0.000 5.961
Ho 6.960 0.000 3.680
Ho 6.722 0.000 8.002
Ni 2.207 0.000 1.617
Ni 3.702 0.000 8.025
Sn -0.982 0.000 9.105
Sn 2.055 0.000 5.990
Sn 3.853 0.000 3.651
Sn 6.891 0.000 0.537
CELL_PARAMETERS angstrom
5.426 -2.216 0.000
5.426 2.216 0.000
-4.944 0.000 9.642
```

Symmetry: C2/m, No. 12

=====

Compound: GdYHg2Au4
Source: the Open Quantum Materials Database
Functional: GGA-PBE
Structure: optimized geometry Values from VASP.

```
&SYSTEM
  ibrav = 0, nat = 8, ntyp = 4
/
ATOMIC_SPECIES
Gd 157.25 Gd.upf
Y 88.91 Y.upf
Hg 200.59 Hg.upf
Au 196.97 Au.upf
ATOMIC_POSITIONS angstrom
Gd 0.000 0.000 0.000
Y 2.472 2.472 3.495
Hg 0.000 0.000 3.495
Hg 2.472 2.472 0.000
Au 0.000 2.472 1.750
Au 0.000 2.472 5.241
Au 2.472 0.000 1.750
Au 2.472 0.000 5.241
CELL_PARAMETERS angstrom
4.943 0.000 0.000
0.000 4.943 0.000
0.000 0.000 6.990
```

Formation energy, eV per atom: -0.600
Symmetry: P4/mmm, No. 123

=====

Compound: ZrNiAs2
Source: the Open Quantum Materials Database
Functional: GGA-PBE
Structure: optimized geometry Values from VASP.

```
&SYSTEM
  ibrav = 0, nat = 4, ntyp = 3
/
ATOMIC_SPECIES
Zr 91.22 Zr.upf
Ni 58.69 Ni.upf
As 74.92 As.upf
ATOMIC_POSITIONS angstrom
Zr 0.000 0.000 0.000
Ni 4.876 4.876 4.876
As 1.625 1.625 1.625
As 3.251 3.251 3.251
CELL_PARAMETERS angstrom
0.000 3.251 3.251
3.251 0.000 3.251
3.251 3.251 0.000
```

Symmetry: F-43m, No. 216

=====

Compound: NaSr3Pt
Source: the Open Quantum Materials Database
Functional: GGA-PBE
Structure: optimized geometry Values from VASP.

```
&SYSTEM
  ibrav = 0, nat = 10, ntyp = 3
/
ATOMIC_SPECIES
Na 22.99 Na.upf
Sr 87.62 Sr.upf
Pt 195.08 Pt.upf
ATOMIC_POSITIONS angstrom
Na 0.000 4.218 0.000
Na 4.218 0.000 0.000
Sr 0.000 0.000 0.000
Sr 2.090 2.129 2.984
Sr 2.129 6.347 2.984
Sr 4.218 4.218 0.000
Sr 6.308 2.090 2.984
Sr 6.347 6.308 2.984
Pt 0.000 0.000 2.984
Pt 4.218 4.218 2.984
CELL_PARAMETERS angstrom
8.437 0.000 0.000
0.000 8.437 0.000
0.000 0.000 5.969
```

Symmetry: P4/mbm, No. 127

=====

Compound: TeAuNO
Source: the Open Quantum Materials Database
Functional: GGA-PBE
Structure: optimized geometry Values from VASP.

```
&SYSTEM
  ibrav = 0, nat = 16, ntyp = 4
/
ATOMIC_SPECIES
Te 127.60 Te.upf
Au 196.97 Au.upf
N 14.01 N.upf
O 16.00 O.upf
ATOMIC_POSITIONS angstrom
Te 0.788 1.005 0.000
Te 2.695 1.005 2.862
Te 4.272 6.141 0.000
Te 6.178 6.141 2.862
Au 1.732 3.661 0.952
Au 1.751 3.661 3.814
Au 5.216 3.484 0.952
Au 5.234 3.484 3.814
N 0.007 2.473 0.967
N 3.477 2.473 3.829
N 3.490 4.673 0.967
N 6.960 4.673 3.829
O 0.441 6.626 1.347
O 3.042 6.626 4.209
O 3.925 0.520 1.347
O 6.525 0.520 4.209
CELL_PARAMETERS angstrom
6.967 0.000 0.000
0.000 7.146 0.000
0.000 0.000 5.724
```

Energy relative to the lowest polymorph listed for this composition, eV/atom: 0.018
Symmetry: Pca2_1, No. 29

=====

| no. | E_tot (eV per atom) |
| --- | --- |
| 1 | -2.9850 |
| 2 | -5.2168 |
| 3 | -3.6979 |
| 4 | -5.9657 |
| 5 | -2.9177 |
| 6 | -4.6475 |